# Nd2Ir2O5, relaxed, DFT PBE
# Energy relative to the lowest polymorph listed for this composition ... 0.0 meV/atom
# ρ ... 11.1 g/cm³
# Magnetization ... 0.005 Bohr magnetons per cell
# Total energy ... -67.70 eV for the cell shown
data_Nd2Ir2O5
_space_group_name_H-M_alt 'P 4/m m m'
_space_group_IT_number 123
_space_group_name_Hall '-P 4 2'
_cell_length_a 3.9649
_cell_length_b 3.9649
_cell_length_c 7.1524
_cell_angle_alpha 90.00
_cell_angle_beta 90.00
_cell_angle_gamma 90.00
loop_
_atom_site_label
_atom_site_type_symbol
_atom_site_fract_x
_atom_site_fract_y
_atom_site_fract_z
_atom_site_occupancy
Nd1 Nd 0.0000 0.0000 0.0000 1
Nd2 Nd 0.0000 0.0000 0.5000 1
Ir1 Ir 0.5000 0.5000 0.1911 1
O1 O 0.0000 0.5000 0.2471 1
O2 O 0.5000 0.5000 0.5000 1